FeCoCuF6 | PBE+U | optimized geometry

The structure in POSCAR format:
```
FeCoCuF6
1.0
-4.152 -0.640 2.157
1.082 -4.537 0.738
4.095 2.373 8.586
Fe F Cu Co
2 12 2 2
Direct
0.500 0.500 0.833
0.000 0.000 0.333
0.301 0.301 0.337
0.801 0.199 0.166
0.301 0.301 0.666
0.699 0.699 0.337
0.199 0.801 0.166
0.699 0.699 0.666
0.801 0.199 0.837
0.801 0.199 0.496
0.199 0.801 0.496
0.699 0.699 0.996
0.301 0.301 0.996
0.199 0.801 0.837
0.500 0.500 0.166
0.000 0.000 0.666
0.500 0.500 0.500
0.000 0.000 0.000
```

Results
For the total energy, the calculation gives -4.920 eV per atom.